[1]
An optimized crystal structure of Cu2Sb, computed with PBE-GGA.

```
Cu2Sb
1.0
-2.100 -0.283 3.737
-2.047 3.431 1.578
-4.294 0.098 0.063
Sb Cu
1 2
Cartesian
0.000 0.000 0.000
-6.331 2.435 4.034
-2.110 0.812 1.345
```

Properties
**Raw total energy**: -11.869 eV per cell
**Crystal system**: cubic
**Calculated volume**: 18.7 Å³ per atom
**Calculated density**: 7370 kg/m3

---

[2]
An optimized crystal structure of Cu2Sb, computed with PBE-GGA.

```
Cu2Sb
1.0
-2.502 2.502 4.119
2.502 -2.502 4.119
2.502 2.502 -4.119
Sb Cu
2 4
Cartesian
0.000 0.000 6.179
0.000 0.000 2.060
3.405 0.903 0.000
1.598 0.903 4.119
0.903 1.598 0.000
-0.903 1.598 4.119
```

Properties
**Raw total energy**: -23.819 eV per cell
**Crystal system**: tetragonal
**Calculated volume**: 17.2 Å³ per atom
**Calculated density**: 8015 kg/m3

---

[3]
An optimized crystal structure of Cu2Sb, computed with PBE-GGA.

```
Cu2Sb
1.0
0.000 3.662 3.662
3.662 0.000 3.662
3.662 3.662 0.000
Sb Cu
2 4
Cartesian
5.493 5.493 5.493
3.662 3.662 3.662
0.916 2.747 2.747
0.916 0.916 0.916
2.747 2.747 0.916
2.747 0.916 2.747
```

Properties
**Raw total energy**: -23.680 eV per cell
**Crystal system**: cubic
**Calculated volume**: 16.4 Å³ per atom
**Calculated density**: 8413 kg/m3

---

[4]
An optimized crystal structure of CuSb3, computed with PBE-GGA.

```
CuSb3
1.0
6.332 0.000 0.000
0.000 6.434 0.000
0.000 0.000 9.774
Sb Cu
12 4
Cartesian
0.906 0.344 7.331
2.245 4.724 3.987
0.921 1.507 3.987
4.087 1.710 8.874
5.412 4.927 5.787
4.072 2.873 2.444
0.921 1.507 0.900
4.087 1.710 5.787
2.260 3.561 7.331
2.245 4.724 0.900
5.426 6.090 2.444
5.412 4.927 8.874
3.407 5.967 7.331
2.925 0.467 2.444
6.091 2.750 7.331
0.241 3.684 2.444
```

Properties
**Raw total energy**: -63.516 eV per cell
**Crystal system**: orthorhombic
**Calculated volume**: 24.9 Å³ per atom
**Calculated density**: 7153 kg/m3

---

[5]
An optimized crystal structure of CuSb2, computed with PBE-GGA.

```
CuSb2
1.0
-5.352 -1.292 3.392
-3.966 -5.069 0.625
6.123 2.037 -0.424
Sb Cu
2 1
Cartesian
-3.486 -2.379 1.503
-5.832 -3.981 2.514
0.000 0.000 0.000
```

Properties
**Raw total energy**: -11.733 eV per cell
**Crystal system**: orthorhombic
**Calculated volume**: 23.5 Å³ per atom
**Calculated density**: 7243 kg/m3

---

[6]
An optimized crystal structure of CuSb3, computed with PBE-GGA.

```
CuSb3
1.0
-1.906 3.660 -2.020
-4.180 -1.634 0.985
0.066 2.246 4.008
Sb Cu
3 1
Cartesian
-2.057 0.306 2.496
-0.920 2.953 0.994
-3.043 1.013 -0.518
0.000 0.000 0.000
```

Properties
**Raw total energy**: -14.792 eV per cell
**Crystal system**: cubic
**Calculated volume**: 24.3 Å³ per atom
**Calculated density**: 7339 kg/m3

---

[7]
An optimized crystal structure of CuSb2, computed with PBE-GGA.

```
CuSb2
1.0
-0.950 -3.991 2.228
1.855 -0.826 4.204
-2.715 0.035 3.798
Sb Cu
2 1
Cartesian
-1.357 -3.586 7.672
-0.452 -1.195 2.557
0.000 0.000 0.000
```

Properties
**Raw total energy**: -11.935 eV per cell
**Crystal system**: cubic
**Calculated volume**: 24.0 Å³ per atom
**Calculated density**: 7087 kg/m3

---

[8]
An optimized crystal structure of CuSb2, computed with PBE-GGA.

```
CuSb2
1.0
2.622 -4.541 0.000
2.622 4.541 0.000
0.000 0.000 3.010
Sb Cu
2 1
Cartesian
2.622 -1.514 0.000
2.622 1.514 0.000
0.000 0.000 1.505
```

Properties
**Raw total energy**: -10.954 eV per cell
**Crystal system**: hexagonal
**Calculated volume**: 23.9 Å³ per atom
**Calculated density**: 7114 kg/m3

---

[9]
An optimized crystal structure of Cu5Sb4, computed with PBE-GGA.

```
Cu5Sb4
1.0
-4.560 4.560 2.031
4.560 -4.560 2.031
4.560 4.560 -2.031
Sb Cu
4 5
Cartesian
6.449 0.000 0.000
0.000 2.671 0.000
0.000 6.449 0.000
2.671 0.000 0.000
3.251 3.251 0.000
-1.309 1.309 2.031
0.000 0.000 0.000
1.309 -1.309 2.031
1.309 1.309 2.031
```

Properties
**Raw total energy**: -35.799 eV per cell
**Crystal system**: tetragonal
**Calculated volume**: 18.8 Å³ per atom
**Calculated density**: 7910 kg/m3

---

[10]
An optimized crystal structure of Cu2Sb, computed with PBE-GGA.

```
Cu2Sb
1.0
4.025 0.000 0.000
0.000 4.025 0.000
0.000 0.000 6.143
Cu Sb
4 2
Cartesian
0.000 2.013 4.505
2.013 0.000 1.637
2.013 2.013 0.000
0.000 0.000 0.000
2.013 0.000 4.296
0.000 2.013 1.847
```

Properties
**Raw total energy**: -24.517 eV per cell
**Crystal system**: tetragonal
**Calculated volume**: 16.6 Å³ per atom
**Calculated density**: 8305 kg/m3

---

[11]
An optimized crystal structure of Cu17Sb2, computed with PBE-GGA.

```
Cu17Sb2
1.0
6.435 -0.030 -0.026
0.883 6.374 -0.026
0.883 0.765 6.328
Cu Sb
17 2
Cartesian
4.777 0.208 1.871
2.541 0.528 4.430
0.883 4.699 1.871
4.915 4.261 0.935
3.217 -0.015 -0.013
0.883 2.440 4.430
6.062 2.451 2.163
4.915 1.457 4.112
0.809 0.702 0.619
2.541 4.462 -0.026
4.777 1.882 -0.026
2.139 4.658 4.112
3.286 5.653 2.163
0.441 3.187 -0.013
0.441 0.383 3.164
7.391 6.408 5.656
3.286 2.849 5.341
2.782 2.412 2.129
5.418 4.697 4.146
```

Properties
**Raw total energy**: -76.009 eV per cell
**Crystal system**: trigonal
**Calculated volume**: 13.7 Å³ per atom
**Calculated density**: 8457 kg/m3

---

[12]
An optimized crystal structure of CuSb3, computed with PBE-GGA.

```
CuSb3
1.0
-0.746 4.016 0.463
-4.820 -0.750 -1.263
-2.639 -0.971 4.171
Sb Cu
3 1
Cartesian
-1.950 1.644 0.847
-6.255 0.651 2.524
-3.729 -0.861 1.454
0.000 0.000 0.000
```

Properties
**Raw total energy**: -15.926 eV per cell
**Crystal system**: orthorhombic
**Calculated volume**: 24.7 Å³ per atom
**Calculated density**: 7218 kg/m3

---

[13]
An optimized crystal structure of CuSb3, computed with PBE-GGA.

```
CuSb3
1.0
-1.837 -4.550 4.592
-2.523 -6.103 -1.246
4.867 4.614 -0.443
Sb Cu
3 1
Cartesian
-2.000 -5.323 1.920
0.518 -3.422 3.738
0.829 -2.601 0.317
3.018 0.063 4.134
```

Properties
**Raw total energy**: -15.790 eV per cell
**Crystal system**: orthorhombic
**Calculated volume**: 25.0 Å³ per atom
**Calculated density**: 7115 kg/m3

---

[14]
An optimized crystal structure of CuSb3, computed with PBE-GGA.

```
CuSb3
1.0
-0.705 -3.818 -0.657
2.369 2.009 -2.420
5.885 -1.818 4.252
Sb Cu
3 1
Cartesian
2.942 -0.909 2.126
1.555 -2.257 -0.352
4.969 -3.312 2.115
0.000 0.000 0.000
```

Properties
**Raw total energy**: -15.609 eV per cell
**Crystal system**: hexagonal
**Calculated volume**: 25.1 Å³ per atom
**Calculated density**: 7085 kg/m3

---

[15]
An optimized crystal structure of CuSb3, computed with PBE-GGA.

```
CuSb3
1.0
3.925 -6.799 0.000
3.925 6.799 0.000
0.000 0.000 3.931
Cu Sb
2 6
Cartesian
3.925 2.266 0.983
3.925 -2.266 2.948
3.925 4.091 2.948
2.346 1.354 2.948
5.505 -1.354 0.983
3.925 -4.091 0.983
5.505 1.354 2.948
2.346 -1.354 0.983
```

Properties
**Raw total energy**: -31.505 eV per cell
**Crystal system**: hexagonal
**Calculated volume**: 26.2 Å³ per atom
**Calculated density**: 6787 kg/m3

---

[16]
An optimized crystal structure of CuSb5, computed with PBE-GGA.

```
CuSb5
1.0
-2.075 -1.983 -5.989
1.202 -4.127 -5.062
-4.026 -4.872 2.961
Sb Cu
5 1
Cartesian
-1.449 -4.715 -5.788
-3.613 -5.989 -1.083
-1.261 -3.330 -3.247
-3.870 -7.848 -4.477
-3.484 -9.135 -8.822
-1.078 -6.209 -10.557
```

Properties
**Raw total energy**: -23.782 eV per cell
**Crystal system**: monoclinic
**Calculated volume**: 29.6 Å³ per atom
**Calculated density**: 6280 kg/m3

---

[17]
An optimized crystal structure of CuSb3, computed with PBE-GGA.

```
CuSb3
1.0
-5.066 -1.367 -2.501
3.102 -4.439 2.114
0.085 4.907 3.116
Sb Cu
3 1
Cartesian
-0.982 -2.903 -0.194
1.593 0.234 2.615
-2.491 1.770 0.307
0.000 0.000 0.000
```

Properties
**Raw total energy**: -14.927 eV per cell
**Crystal system**: trigonal
**Calculated volume**: 24.1 Å³ per atom
**Calculated density**: 7374 kg/m3

---

[18]
An optimized crystal structure of Cu3Sb5, computed with PBE-GGA.

```
Cu3Sb5
1.0
4.084 -5.398 0.000
4.084 5.398 0.000
0.000 0.000 4.082
Sb Cu
5 3
Cartesian
2.328 0.000 2.041
5.840 0.000 2.041
2.042 2.699 0.000
2.042 -2.699 0.000
0.000 0.000 0.000
4.084 2.033 2.041
4.084 -2.033 2.041
4.084 0.000 0.000
```

Properties
**Raw total energy**: -30.701 eV per cell
**Crystal system**: orthorhombic
**Calculated volume**: 22.5 Å³ per atom
**Calculated density**: 7376 kg/m3

---

[19]
An optimized crystal structure of CuSb7, computed with PBE-GGA.

```
CuSb7
1.0
0.000 4.699 4.699
4.699 0.000 4.699
4.699 4.699 0.000
Sb Cu
7 1
Cartesian
0.000 2.350 2.350
2.350 2.350 4.699
2.350 4.699 2.350
2.350 2.350 0.000
2.350 0.000 2.350
4.699 2.350 2.350
4.699 4.699 4.699
0.000 0.000 0.000
```

Properties
**Raw total energy**: -29.877 eV per cell
**Crystal system**: cubic
**Calculated volume**: 25.9 Å³ per atom
**Calculated density**: 7328 kg/m3

---

[20]
An optimized crystal structure of CuSb3, computed with PBE-GGA.

```
CuSb3
1.0
-3.531 0.428 2.105
-2.009 -3.306 1.453
1.630 -0.539 6.895
Sb Cu
3 1
Cartesian
-1.139 -0.877 2.365
-1.955 -1.708 5.227
-2.770 -2.540 8.088
0.000 0.000 0.000
```

Properties
**Raw total energy**: -16.048 eV per cell
**Crystal system**: monoclinic
**Calculated volume**: 24.6 Å³ per atom
**Calculated density**: 7246 kg/m3

---

[21]
An optimized crystal structure of Cu4Sb, computed with PBE-GGA.

```
Cu4Sb
1.0
4.802 0.000 0.000
0.000 4.802 0.000
0.000 0.000 4.802
Cu Sb
4 1
Cartesian
0.000 2.401 2.401
2.401 0.000 2.401
2.401 2.401 0.000
0.000 0.000 0.000
2.401 2.401 2.401
```

Properties
**Raw total energy**: -16.148 eV per cell
**Crystal system**: cubic
**Calculated volume**: 22.2 Å³ per atom
**Calculated density**: 5637 kg/m3

---

[22]
An optimized crystal structure of Cu2Sb, computed with PBE-GGA.

```
Cu2Sb
1.0
-0.986 -4.033 0.065
1.502 1.716 -3.468
3.176 -0.762 1.003
Cu Sb
2 1
Cartesian
1.234 -2.450 -0.674
2.459 -0.629 -1.726
-0.986 -4.033 0.065
```

Properties
**Raw total energy**: -11.664 eV per cell
**Crystal system**: trigonal
**Calculated volume**: 17.0 Å³ per atom
**Calculated density**: 8106 kg/m3

---

[23]
An optimized crystal structure of Cu2Sb, computed with PBE-GGA.

```
Cu2Sb
1.0
4.583 -0.444 0.000
2.162 4.066 0.000
-3.373 -1.811 2.559
Sb Cu
1 2
Cartesian
0.000 0.000 0.000
2.272 1.220 0.000
4.473 2.402 0.000
```

Properties
**Raw total energy**: -11.913 eV per cell
**Crystal system**: tetragonal
**Calculated volume**: 16.7 Å³ per atom
**Calculated density**: 8240 kg/m3

---

[24]
An optimized crystal structure of Sc2CuSb, computed with PBE-GGA.

```
Sc2CuSb
1.0
2.048 0.000 9.115
-1.024 1.774 9.115
-1.024 -1.774 9.115
Cu Sc Sb
1 2 1
Cartesian
0.000 0.000 13.673
0.000 0.000 24.438
0.000 0.000 2.908
0.000 0.000 0.000
```

Properties
**Raw total energy**: -20.672 eV per cell
**Crystal system**: trigonal
**Calculated volume**: 24.8 Å³ per atom
**Calculated density**: 4601 kg/m3

---

[25]
An optimized crystal structure of Sc2CuSb, computed with PBE-GGA.

```
Sc2CuSb
1.0
4.472 -0.013 0.003
2.249 3.866 0.003
2.231 1.279 4.954
Cu Sb Sc
1 1 2
Cartesian
6.714 3.849 3.721
2.238 1.283 1.240
2.231 1.279 4.802
4.476 2.566 2.633
```

Properties
**Raw total energy**: -22.490 eV per cell
**Crystal system**: trigonal
**Calculated volume**: 21.4 Å³ per atom
**Calculated density**: 5329 kg/m3

---

[26]
An optimized crystal structure of ScCuSb, computed with PBE-GGA.

```
ScCuSb
1.0
4.243 0.000 0.000
-2.121 3.674 0.000
0.000 0.000 3.884
Sb Sc Cu
1 1 1
Cartesian
2.121 1.225 0.856
0.000 2.449 2.702
0.000 0.000 0.326
```

Properties
**Raw total energy**: -16.043 eV per cell
**Crystal system**: trigonal
**Calculated volume**: 20.2 Å³ per atom
**Calculated density**: 6316 kg/m3

---

[27]
An optimized crystal structure of ScCu2Sb, computed with PBE-GGA.

```
ScCu2Sb
1.0
4.093 0.000 0.000
0.000 4.076 0.005
0.000 4.066 4.137
Sb Sc Cu
1 1 2
Cartesian
2.047 4.071 2.071
0.000 2.033 2.068
2.047 2.038 0.003
0.000 0.000 0.000
```

Properties
**Raw total energy**: -19.860 eV per cell
**Crystal system**: orthorhombic
**Calculated volume**: 17.2 Å³ per atom
**Calculated density**: 7079 kg/m3

---

[28]
An optimized crystal structure of Sc3CuSb, computed with PBE-GGA.

```
Sc3CuSb
1.0
4.912 0.000 0.000
0.000 4.912 0.000
0.000 0.000 4.912
Sc Cu Sb
3 1 1
Cartesian
2.456 0.000 0.000
0.000 0.000 2.456
0.000 2.456 0.000
0.000 0.000 0.000
2.456 2.456 2.456
```

Properties
**Raw total energy**: -28.253 eV per cell
**Crystal system**: cubic
**Calculated volume**: 23.7 Å³ per atom
**Calculated density**: 4485 kg/m3